1.
SCAN TaMo, PBEsol geometry; calculated volume = 130.5 Å³ per cell; electronic total energy = -50.869 eV per atom; energy relative to the elements = -26 kJ/mol of formula units; space group = Pmma, No. 51
1.0
3.192 0.000 0.000
0.000 6.373 0.000
0.000 0.000 6.414
Mo Ta
4 4
Cartesian
0.000 1.593 1.593
1.596 3.186 0.000
0.000 4.780 4.820
1.596 0.000 0.000
1.596 0.000 3.207
0.000 4.780 1.527
0.000 1.593 4.887
1.596 3.186 3.207

---

2.
SCAN Fe3Tc4, PBEsol geometry; calculated volume = 86.4 Å³ per cell; electronic total energy = -27.721 eV per atom; energy relative to the elements = 56 kJ/mol of formula units; space group = P6/mmm, No. 191; polymorph energy (0 for the lowest one) = 6.7 kJ/mol of atoms
1.0
4.589 0.000 0.000
-2.294 3.974 0.000
0.000 0.000 4.737
Fe Tc
3 4
Cartesian
-1.147 1.987 0.000
2.294 0.000 0.000
1.147 1.987 0.000
0.000 0.000 3.522
0.000 0.000 1.215
0.000 2.649 2.368
2.294 1.325 2.368

---

3.
SCAN MgPt2Au, PBEsol geometry; calculated volume = 62.8 Å³ per cell; electronic total energy = -54.119 eV per atom; energy relative to the elements = -189 kJ/mol of formula units; space group = Pmmm, No. 47
1.0
-1.459 -2.437 0.142
2.892 -1.611 2.074
-2.457 1.749 4.784
Au Mg Pt
1 1 2
Cartesian
0.716 -2.024 1.108
-0.512 -1.149 3.499
-1.828 1.301 3.559
-0.629 0.448 1.224